one) Entry from OQMD: crystalline HgIr7 at its relaxed geometry (PBE).

Summary:
* total moment: 0.02 μB/cell
* volume: 23.53 Å³ per atom

a b c (Å): 2.746 3.859 35.527
angles (deg): 90.00 90.00 90.00
Space group Pmmn (No. 59, origin choice 2)
Symmetry-distinct sites (fractional):
Hg1 0.250 0.250 0.201
Ir1 0.250 0.250 0.288
Ir2 0.250 0.250 0.366
Ir3 0.250 0.250 0.442
Ir4 0.250 0.250 0.519
Ir5 0.250 0.250 0.596
Ir6 0.250 0.250 0.673
Ir7 0.250 0.250 0.749

***

two) Entry from OQMD: crystalline HgIr7 at its relaxed geometry (PBE).

Summary:
* total moment: 0.01 μB/cell
* volume: 20.82 Å³ per atom

a b c (Å): 2.753 2.753 43.961
angles (deg): 90.00 90.00 90.00
Space group P4/nmm (No. 129, origin choice 2)
Symmetry-distinct sites (fractional):
Hg1 0.250 0.250 0.162
Ir1 0.250 0.250 0.258
Ir2 0.250 0.250 0.347
Ir3 0.250 0.250 0.434
Ir4 0.250 0.250 0.522
Ir5 0.250 0.250 0.610
Ir6 0.250 0.250 0.698
Ir7 0.250 0.250 0.784

***

Compare the structures above. Which one is the least stable? one) is.